This record from Alexandria describes a relaxed structure of BaPuTlI6. The functional is PBE-GGA.

- Space-group type: P-31c, No. 163
- Final energy: -77.4 eV per cell
- Magnetic moment: 10.00 Bohr magnetons per cell

Structure (POSCAR):
```
BaPuTlI6
1.0
8.527 0.000 0.000
-4.263 7.385 0.000
0.000 0.000 14.755
Ba Pu Tl I
2 2 2 12
direct
0.333 0.667 0.250
0.667 0.333 0.750
0.333 0.667 0.750
0.667 0.333 0.250
0.000 0.000 0.000
0.000 0.000 0.500
0.032 0.370 0.628
0.032 0.662 0.872
0.338 0.370 0.872
0.338 0.968 0.628
0.370 0.032 0.128
0.370 0.338 0.372
0.630 0.662 0.628
0.630 0.968 0.872
0.662 0.032 0.372
0.662 0.630 0.128
0.968 0.338 0.128
0.968 0.630 0.372
```